VASP calculation (PBE) on crystalline LiDy12Tl6 at its relaxed geometry.

- Volume: 1920.2 Å³ per cell
- Calculated density: 8.258 Mg/m³
- Total DFT energy (no corrections): -3.64 eV/atom

The structure in CIF format:
```
data_LiDy12Tl6
_cell_length_a 13.5063
_cell_length_b 13.5063
_cell_length_c 12.1548
_cell_angle_alpha 90.00
_cell_angle_beta 90.00
_cell_angle_gamma 120.00
_space_group_name_H-M_alt 'R -3'
_space_group_IT_number 148
_space_group_name_Hall '-R 3'
loop_
_atom_site_label
_atom_site_type_symbol
_atom_site_fract_x
_atom_site_fract_y
_atom_site_fract_z
Li1 Li 0.0000 0.0000 0.0000
Dy1 Dy 0.0339 0.8266 0.3904
Dy2 Dy 0.0532 0.8431 0.8888
Tl1 Tl 0.0472 0.7784 0.6457
```